Material: TcSbAu2
Method: DFT, PBE
State: optimized geometry

The density comes out at 12.973 g/cm3. The magnetic moment comes out at 0.00 μB per formula unit. The calculation puts the total energy at -4.991 eV/atom. The calculation puts the energy relative to the elements, uncorrected at 26.06 kJ per mole of atoms.

It has space group Immm (No. 71), with a = 3.061 Å, b = 4.370 Å, c = 11.743 Å, α = 90.00°, β = 90.00° and γ = 90.00°. The inequivalent atoms are Tc at (0.000, 0.000, 0.000), Sb at (0.000, 0.000, 0.500) and Au at (0.000, 0.500, 0.297).

=====

Material: TcSbAu2
Method: DFT, PBE
State: optimized geometry

The density comes out at 13.450 g/cm3. The magnetic moment comes out at 0.02 μB per formula unit. The calculation puts the total energy at -4.961 eV/atom. The calculation puts the energy relative to the elements, uncorrected at 28.88 kJ per mole of atoms.

It has space group R3m (No. 160, hexagonal axes), with a = 3.1502 Å, b = 3.1502 Å, c = 26.4471 Å, α = 90.00°, β = 90.00° and γ = 120.00°. The inequivalent atoms are Tc at (0.0000, 0.0000, 0.0000), Sb at (0.0000, 0.0000, 0.7416), Au at (0.0000, 0.0000, 0.2526) and Au at (0.0000, 0.0000, 0.5014).

=====

Material: Tc4SbAu
Method: DFT, PBE
State: optimized geometry

The density comes out at 11.638 g/cm3. The magnetic moment comes out at 0.00 μB per formula unit. The calculation puts the total energy at -7.599 eV/atom. The calculation puts the energy relative to the elements, uncorrected at 52.59 kJ per mole of atoms.

It has space group F-43m (No. 216), with a = 7.402 Å, b = 7.402 Å, c = 7.402 Å, α = 90.00°, β = 90.00° and γ = 90.00°. The inequivalent atoms are Tc at (0.124, 0.124, 0.124), Sb at (0.000, 0.000, 0.500) and Au at (0.250, 0.250, 0.750).

=====

Material: TcSbAu2
Method: DFT, PBE
State: optimized geometry

The density comes out at 13.514 g/cm3. The magnetic moment comes out at 0.78 μB per formula unit. The calculation puts the total energy at -4.969 eV/atom. The calculation puts the energy relative to the elements, uncorrected at 28.11 kJ per mole of atoms.

It has space group C2/m (No. 12), with a = 5.515 Å, b = 10.547 Å, c = 3.168 Å, α = 90.00°, β = 125.08° and γ = 90.00°. The inequivalent atoms are Tc at (0.000, 0.000, 0.000), Sb at (0.000, 0.500, 0.000) and Au at (0.250, 0.250, 0.500).

=====

Material: TcSbAu4
Method: DFT, PBE
State: optimized geometry

The density comes out at 13.833 g/cm3. The magnetic moment comes out at 3.71 μB per formula unit. The calculation puts the total energy at -4.121 eV/atom. The calculation puts the energy relative to the elements, uncorrected at 46.21 kJ per mole of atoms.

It has space group F-43m (No. 216), with a = 7.850 Å, b = 7.850 Å, c = 7.850 Å, α = 90.00°, β = 90.00° and γ = 90.00°. The inequivalent atoms are Tc at (0.000, 0.000, 0.000), Sb at (0.250, 0.250, 0.250) and Au at (0.125, 0.125, 0.625).

=====

Material: TcSbAu2
Method: DFT, PBE
State: optimized geometry

The density comes out at 13.614 g/cm3. The magnetic moment comes out at 2.05 μB per formula unit. The calculation puts the total energy at -4.897 eV/atom. The calculation puts the energy relative to the elements, uncorrected at 35.12 kJ per mole of atoms.

It has space group I4/mmm (No. 139), with a = 3.989 Å, b = 3.989 Å, c = 9.408 Å, α = 90.00°, β = 90.00° and γ = 90.00°. The inequivalent atoms are Tc at (0.000, 0.000, 0.000), Sb at (0.000, 0.000, 0.500) and Au at (0.000, 0.500, 0.250).

=====

Material: TcSbAu2
Method: DFT, PBE
State: optimized geometry

The density comes out at 13.342 g/cm3. The magnetic moment comes out at 0.00 μB per formula unit. The calculation puts the total energy at -4.776 eV/atom. The calculation puts the energy relative to the elements, uncorrected at 46.74 kJ per mole of atoms.

It has space group R-3m (No. 166, hexagonal axes), with a = 3.0619 Å, b = 3.0619 Å, c = 28.2225 Å, α = 90.00°, β = 90.00° and γ = 120.00°. The inequivalent atoms are Tc at (0.0000, 0.0000, 0.0000), Sb at (0.0000, 0.0000, 0.5000) and Au at (0.0000, 0.0000, 0.2566).

=====

Material: Tc2SbAu4
Method: DFT, PBE
State: optimized geometry

The density comes out at 10.190 g/cm3. The magnetic moment comes out at 1.36 μB per formula unit. The calculation puts the total energy at -4.451 eV/atom. The calculation puts the energy relative to the elements, uncorrected at 93.79 kJ per mole of atoms.

It has space group I4/mmm (No. 139), with a = 5.297 Å, b = 5.297 Å, c = 12.840 Å, α = 90.00°, β = 90.00° and γ = 90.00°. The inequivalent atoms are Tc at (0.000, 0.000, 0.083), Sb at (0.000, 0.000, 0.500), Au at (0.000, 0.000, 0.289) and Au at (0.000, 0.500, 0.000).

=====

Q: Which of these has the highest magnetic moment?
A: TcSbAu4